(1)
# MgTlGa GGA-PBE optimized geometry
data_MgTlGa
_chemical_formula_sum 'Mg1 Tl1 Ga1'
_symmetry_space_group_name_H-M 'P 1'
_symmetry_Int_Tables_number 1
_symmetry_space_group_name_Hall 'P 1'
_cell_length_a 6.4464
_cell_length_b 6.4464
_cell_length_c 6.4464
_cell_angle_alpha 149.17
_cell_angle_beta 149.17
_cell_angle_gamma 44.15
loop_
_atom_site_label
_atom_site_type_symbol
_atom_site_fract_x
_atom_site_fract_y
_atom_site_fract_z
Mg1 Mg 0.0000 0.0000 0.0000
Tl1 Tl 0.3144 0.3144 0.0000
Ga1 Ga 0.6386 0.6386 0.0000
# DFT formation energy (eV/atom): 0.00


(2)
# Pr3Nd3CoAu2 GGA-PBE optimized geometry
data_Pr3Nd3CoAu2
_chemical_formula_sum 'Pr3 Nd3 Co1 Au2'
_symmetry_space_group_name_H-M 'P 1'
_symmetry_Int_Tables_number 1
_symmetry_space_group_name_Hall 'P 1'
_cell_length_a 8.6358
_cell_length_b 8.6358
_cell_length_c 3.8781
_cell_angle_alpha 90.00
_cell_angle_beta 90.00
_cell_angle_gamma 120.00
loop_
_atom_site_label
_atom_site_type_symbol
_atom_site_fract_x
_atom_site_fract_y
_atom_site_fract_z
Pr1 Pr 0.0000 0.4156 0.0000
Pr2 Pr 0.4156 0.0000 0.0000
Pr3 Pr 0.5844 0.5844 0.0000
Nd1 Nd 0.0000 0.7660 0.5000
Nd2 Nd 0.2340 0.2340 0.5000
Nd3 Nd 0.7660 0.0000 0.5000
Co1 Co 0.0000 0.0000 0.0000
Au1 Au 0.3333 0.6667 0.5000
Au2 Au 0.6667 0.3333 0.5000
# DFT formation energy (eV/atom): -0.35


(3)
# MgNi6B6 GGA-PBE optimized geometry
data_MgNi6B6
_chemical_formula_sum 'Mg1 Ni6 B6'
_symmetry_space_group_name_H-M 'P 1'
_symmetry_Int_Tables_number 1
_symmetry_space_group_name_Hall 'P 1'
_cell_length_a 5.5360
_cell_length_b 5.5360
_cell_length_c 5.5360
_cell_angle_alpha 135.77
_cell_angle_beta 98.26
_cell_angle_gamma 98.04
loop_
_atom_site_label
_atom_site_type_symbol
_atom_site_fract_x
_atom_site_fract_y
_atom_site_fract_z
Mg1 Mg 0.0000 0.0000 0.0000
Ni1 Ni 0.1787 0.6787 0.5000
Ni2 Ni 0.3356 0.0000 0.3356
Ni3 Ni 0.3423 0.3423 0.0000
Ni4 Ni 0.6577 0.6577 0.0000
Ni5 Ni 0.6644 0.0000 0.6644
Ni6 Ni 0.8213 0.3213 0.5000
B1 B 0.0000 0.0000 0.5000
B2 B 0.0000 0.5000 0.0000
B3 B 0.2379 0.5000 0.7379
B4 B 0.5000 0.0000 0.0000
B5 B 0.5000 0.5000 0.5000
B6 B 0.7621 0.5000 0.2621
# DFT formation energy (eV/atom): -0.05


(4)
# K2LaSe GGA-PBE optimized geometry
data_K2LaSe
_chemical_formula_sum 'K2 La1 Se1'
_symmetry_space_group_name_H-M 'P 1'
_symmetry_Int_Tables_number 1
_symmetry_space_group_name_Hall 'P 1'
_cell_length_a 4.1416
_cell_length_b 4.0484
_cell_length_c 11.4683
_cell_angle_alpha 90.00
_cell_angle_beta 100.39
_cell_angle_gamma 90.00
loop_
_atom_site_label
_atom_site_type_symbol
_atom_site_fract_x
_atom_site_fract_y
_atom_site_fract_z
K1 K 0.0000 0.0000 0.0000
K2 K 0.3282 0.5000 0.6556
La1 La 0.6662 0.0000 0.3345
Se1 Se 0.1299 0.5000 0.2619
# Formation energy (no corrections) (eV/atom): -0.735


(5)
# AlCdW2 GGA-PBE optimized geometry
data_AlCdW2
_chemical_formula_sum 'Al1 Cd1 W2'
_symmetry_space_group_name_H-M 'P 1'
_symmetry_Int_Tables_number 1
_symmetry_space_group_name_Hall 'P 1'
_cell_length_a 2.7638
_cell_length_b 4.4897
_cell_length_c 5.5690
_cell_angle_alpha 90.00
_cell_angle_beta 104.08
_cell_angle_gamma 90.00
loop_
_atom_site_label
_atom_site_type_symbol
_atom_site_fract_x
_atom_site_fract_y
_atom_site_fract_z
Al1 Al 0.0000 0.0000 0.0000
Cd1 Cd 0.0000 0.0000 0.5000
W1 W 0.4905 0.5000 0.2304
W2 W 0.5095 0.5000 0.7696
# DFT formation energy (eV/atom): 0.36
# E above lowest polymorph (eV/atom): 0.111


(6)
# HfMo2Ir2 GGA-PBE optimized geometry
data_HfMo2Ir2
_chemical_formula_sum 'Hf2 Mo4 Ir4'
_symmetry_space_group_name_H-M 'P 1'
_symmetry_Int_Tables_number 1
_symmetry_space_group_name_Hall 'P 1'
_cell_length_a 7.7348
_cell_length_b 7.7348
_cell_length_c 2.7924
_cell_angle_alpha 90.00
_cell_angle_beta 90.00
_cell_angle_gamma 90.00
loop_
_atom_site_label
_atom_site_type_symbol
_atom_site_fract_x
_atom_site_fract_y
_atom_site_fract_z
Hf1 Hf 0.0000 0.0000 0.0000
Hf2 Hf 0.5000 0.5000 0.0000
Mo1 Mo 0.1201 0.3799 0.0000
Mo2 Mo 0.3799 0.8799 0.0000
Mo3 Mo 0.6201 0.1201 0.0000
Mo4 Mo 0.8799 0.6201 0.0000
Ir1 Ir 0.1741 0.6741 0.5000
Ir2 Ir 0.3259 0.1741 0.5000
Ir3 Ir 0.6741 0.8259 0.5000
Ir4 Ir 0.8259 0.3259 0.5000
# DFT formation energy (eV/atom): -0.19
# E above lowest polymorph (eV/atom): 0.039


(7)
# TbNiSnPt GGA-PBE optimized geometry
data_TbNiSnPt
_chemical_formula_sum 'Tb1 Ni1 Sn1 Pt1'
_symmetry_space_group_name_H-M 'P 1'
_symmetry_Int_Tables_number 1
_symmetry_space_group_name_Hall 'P 1'
_cell_length_a 4.7361
_cell_length_b 4.7361
_cell_length_c 4.7361
_cell_angle_alpha 60.00
_cell_angle_beta 60.00
_cell_angle_gamma 60.00
loop_
_atom_site_label
_atom_site_type_symbol
_atom_site_fract_x
_atom_site_fract_y
_atom_site_fract_z
Tb1 Tb 0.0000 0.0000 0.0000
Ni1 Ni 0.2500 0.2500 0.2500
Sn1 Sn 0.5000 0.5000 0.5000
Pt1 Pt 0.7500 0.7500 0.7500
# DFT formation energy (eV/atom): -0.68


(8)
# Ba2NaFe GGA-PBE optimized geometry
data_Ba2NaFe
_chemical_formula_sum 'Ba4 Na2 Fe2'
_symmetry_space_group_name_H-M 'P 1'
_symmetry_Int_Tables_number 1
_symmetry_space_group_name_Hall 'P 1'
_cell_length_a 8.1658
_cell_length_b 8.1658
_cell_length_c 8.1658
_cell_angle_alpha 118.47
_cell_angle_beta 118.47
_cell_angle_gamma 92.68
loop_
_atom_site_label
_atom_site_type_symbol
_atom_site_fract_x
_atom_site_fract_y
_atom_site_fract_z
Ba1 Ba 0.3750 0.1986 0.3236
Ba2 Ba 0.8014 0.1250 0.1764
Ba3 Ba 0.8750 0.0514 0.6764
Ba4 Ba 0.9486 0.6250 0.8236
Na1 Na 0.2500 0.7500 0.5000
Na2 Na 0.5000 0.5000 0.0000
Fe1 Fe 0.0000 0.0000 0.0000
Fe2 Fe 0.7500 0.2500 0.5000
# DFT formation energy (eV/atom): 0.80
# E above lowest polymorph (eV/atom): 0.054


(9)
# AgOsPb2 GGA-PBE optimized geometry
data_AgOsPb2
_chemical_formula_sum 'Ag1 Os1 Pb2'
_symmetry_space_group_name_H-M 'P 1'
_symmetry_Int_Tables_number 1
_symmetry_space_group_name_Hall 'P 1'
_cell_length_a 4.9860
_cell_length_b 4.9860
_cell_length_c 4.9860
_cell_angle_alpha 60.00
_cell_angle_beta 60.00
_cell_angle_gamma 60.00
loop_
_atom_site_label
_atom_site_type_symbol
_atom_site_fract_x
_atom_site_fract_y
_atom_site_fract_z
Ag1 Ag 0.0000 0.0000 0.0000
Os1 Os 0.7500 0.7500 0.7500
Pb1 Pb 0.2500 0.2500 0.2500
Pb2 Pb 0.5000 0.5000 0.5000
# DFT formation energy (eV/atom): 0.93
# E above lowest polymorph (eV/atom): 0.327


(10)
# Ti8CuSb2 GGA-PBE optimized geometry
data_Ti8CuSb2
_chemical_formula_sum 'Ti8 Cu1 Sb2'
_symmetry_space_group_name_H-M 'P 1'
_symmetry_Int_Tables_number 1
_symmetry_space_group_name_Hall 'P 1'
_cell_length_a 7.9922
_cell_length_b 7.9922
_cell_length_c 5.3851
_cell_angle_alpha 90.21
_cell_angle_beta 90.21
_cell_angle_gamma 33.58
loop_
_atom_site_label
_atom_site_type_symbol
_atom_site_fract_x
_atom_site_fract_y
_atom_site_fract_z
Ti1 Ti 0.0437 0.0437 0.2721
Ti2 Ti 0.2311 0.2311 0.3426
Ti3 Ti 0.3371 0.3371 0.8803
Ti4 Ti 0.4166 0.4166 0.4279
Ti5 Ti 0.5834 0.5834 0.5721
Ti6 Ti 0.6629 0.6629 0.1197
Ti7 Ti 0.7689 0.7689 0.6574
Ti8 Ti 0.9563 0.9563 0.7279
Cu1 Cu 0.5000 0.5000 0.0000
Sb1 Sb 0.1516 0.1516 0.8148
Sb2 Sb 0.8484 0.8484 0.1852
# Formation energy (no corrections) (eV/atom): -0.250


(11)
# KNiSb GGA-PBE optimized geometry
data_KNiSb
_chemical_formula_sum 'K1 Ni1 Sb1'
_symmetry_space_group_name_H-M 'P 1'
_symmetry_Int_Tables_number 1
_symmetry_space_group_name_Hall 'P 1'
_cell_length_a 6.6198
_cell_length_b 6.6198
_cell_length_c 6.6198
_cell_angle_alpha 149.86
_cell_angle_beta 147.85
_cell_angle_gamma 44.65
loop_
_atom_site_label
_atom_site_type_symbol
_atom_site_fract_x
_atom_site_fract_y
_atom_site_fract_z
K1 K 0.0000 0.0000 0.0000
Ni1 Ni 0.7226 0.7226 0.0000
Sb1 Sb 0.2813 0.2813 0.0000
# Formation energy (no corrections) (eV/atom): -0.077


(12)
# MnCoPt2 GGA-PBE optimized geometry
data_MnCoPt2
_chemical_formula_sum 'Mn1 Co1 Pt2'
_symmetry_space_group_name_H-M 'P 1'
_symmetry_Int_Tables_number 1
_symmetry_space_group_name_Hall 'P 1'
_cell_length_a 2.7685
_cell_length_b 2.7685
_cell_length_c 7.4471
_cell_angle_alpha 90.00
_cell_angle_beta 90.00
_cell_angle_gamma 90.00
loop_
_atom_site_label
_atom_site_type_symbol
_atom_site_fract_x
_atom_site_fract_y
_atom_site_fract_z
Mn1 Mn 0.0000 0.0000 0.0000
Co1 Co 0.0000 0.0000 0.5000
Pt1 Pt 0.5000 0.5000 0.2582
Pt2 Pt 0.5000 0.5000 0.7418
# DFT formation energy (eV/atom): -0.20


For each record above, in turn, the calculated uncorrected energy values are -6.98, -45.46, -76.97, -13.55, -29.12, -100.59, -23.16, -20.88, -17.78, -78.25, -11.23, -29.14 eV for the cell shown.